{"formula": "LaY2Zn", "functional": "GGA-PBE", "state": "optimized geometry", "space_group": "C2/m", "ef_ev_per_atom": 0.086, "de_polymorph_mev_per_atom": 252, "lattice": [[6.593, -0.175, 0.171], [-3.118, 5.813, 0.171], [0.790, 1.281, 3.191]], "species": ["Zn", "Y", "La", "Y"], "fractional_positions": [[0.500, 0.000, 0.500], [0.500, 0.500, 0.000], [0.000, 0.500, 0.500], [0.000, 0.000, 0.000]]}